1.
DFT (PBE) results for crystalline KRb2 at its relaxed geometry.

SG ... Fd-3m
ΔE_f ... 54 meV per atom

Cell: 9.100 9.100 9.100 Å, 60.00 60.00 60.00°
Atoms (fractional coordinates):
Rb 0.125 0.625 0.625
Rb 0.625 0.125 0.625
Rb 0.625 0.625 0.625
Rb 0.625 0.625 0.125
K 0.000 0.000 0.000
K 0.250 0.250 0.250



2.
DFT (PBE) results for crystalline Mg2NpScO6 at its relaxed geometry.

SG ... R3
Uncorrected formation energy ... -2.94 eV per atom

Cell: 5.387 5.387 5.743 Å, 62.03 62.03 60.00°
Atoms (fractional coordinates):
O 0.415 0.717 0.756
O 0.616 0.216 0.256
O 0.216 0.911 0.256
O 0.112 0.415 0.756
O 0.717 0.112 0.756
O 0.911 0.616 0.256
Mg 0.525 0.525 0.426
Mg 0.021 0.021 0.937
Np 0.316 0.316 0.053
Sc 0.813 0.813 0.560



Number 1: volume 88.8 Å³ per atom, total magnetic moment 0.000 μB/f.u., theoretical density 1.3 Mg/m³. Number 2: volume 12.1 Å³ per atom, total magnetic moment 2.000 μB/f.u., theoretical density 5.8 Mg/m³.